1.
A plane-wave DFT calculation with PBEsol was carried out for an optimized crystal structure of MgZnRh.

Results
N(E_F), states/eV per cell: 1.82
Formation energy, eV per atom: -0.3779

a b c (Å): 3.125 3.125 9.084
angles (deg): 90.00 90.00 90.00
Space group I4mm (No. 107)
Unique sites:
Mg 0.000 0.000 0.000 x2
Zn 0.000 0.000 0.310 x2
Rh 0.000 0.000 0.669 x2


2.
A plane-wave DFT calculation with PBEsol was carried out for an optimized crystal structure of MgZn2Rh.

Results
N(E_F), states/eV per cell: 1.51
Formation energy, eV per atom: -0.2709

a b c (Å): 3.192 3.192 5.746
angles (deg): 90.00 90.00 90.00
Space group P4mm (No. 99)
Unique sites:
Mg 0.000 0.000 0.000 x1
Zn 0.000 0.000 0.472 x1
Zn 0.500 0.500 0.713 x1
Rh 0.500 0.500 0.249 x1


3.
A plane-wave DFT calculation with PBEsol was carried out for an optimized crystal structure of MgZnRh.

Results
N(E_F), states/eV per cell: 1.17
Formation energy, eV per atom: -0.2980

a b c (Å): 4.2407 4.2407 2.8788
angles (deg): 90.00 90.00 120.00
Space group P3m1 (No. 156)
Unique sites:
Mg 0.0000 0.0000 0.0000 x1
Zn 0.3333 0.6667 0.6199 x1
Rh 0.6667 0.3333 0.4248 x1


4.
A plane-wave DFT calculation with PBEsol was carried out for an optimized crystal structure of MgZn2Rh.

Results
N(E_F), states/eV per cell: 2.85
Formation energy, eV per atom: -0.3647

a b c (Å): 3.743 3.743 8.076
angles (deg): 90.00 90.00 90.00
Space group I4/mmm (No. 139)
Unique sites:
Mg 0.000 0.000 0.000 x2
Zn 0.000 0.500 0.250 x4
Rh 0.000 0.000 0.500 x2


Question: Which of these has the highest N(E_F)?
Answer: number 4